Record 1
VASP calculation (PBE) on Tb12Mg2Cd5 after structural relaxation.

Summary:
Energy of formation in eV per atom: -0.082
E in eV per atom: -3.415
Space-group type: No. 12
Crystal system: monoclinic

a = 8.2156 Å, b = 8.2156 Å, c = 8.3581 Å
α = 99.84°, β = 99.84°, γ = 80.55°
With the nearest neighbours (Å) after each atom.
Sites, in units of the cell vectors:
Tb (0.0774, 0.0774, 0.2102)  3 Cd 3.19-3.34, 5 Tb 3.43-3.52
Tb (0.1277, 0.5145, 0.6972)  2 Cd 3.11-3.37, 1 Mg 3.19, 1 Tb 3.40
Tb (0.1346, 0.6521, 0.1059)  3 Cd 3.15-3.29, 1 Mg 3.27, 4 Tb 3.40-3.52
Tb (0.3479, 0.8654, 0.8941)  3 Cd 3.15-3.29, 1 Mg 3.27, 4 Tb 3.40-3.52
Tb (0.3626, 0.3626, 0.3682)  1 Cd 3.23, 2 Mg 3.44, 5 Tb 3.52-3.59
Tb (0.4855, 0.8723, 0.3028)  2 Cd 3.11-3.37, 1 Mg 3.19, 1 Tb 3.40
Tb (0.5145, 0.1277, 0.6972)  2 Cd 3.11-3.37, 1 Mg 3.19, 1 Tb 3.40
Tb (0.6374, 0.6374, 0.6318)  1 Cd 3.23, 2 Mg 3.44, 5 Tb 3.52-3.59
Tb (0.6521, 0.1346, 0.1059)  3 Cd 3.15-3.29, 1 Mg 3.27, 4 Tb 3.40-3.52
Tb (0.8654, 0.3479, 0.8941)  3 Cd 3.15-3.29, 1 Mg 3.27, 4 Tb 3.40-3.52
Tb (0.8723, 0.4855, 0.3028)  2 Cd 3.11-3.37, 1 Mg 3.19, 1 Tb 3.40
Tb (0.9226, 0.9226, 0.7898)  3 Cd 3.19-3.34, 5 Tb 3.43-3.52
Mg (0.2253, 0.7747, 0.5000)  2 Cd 2.92, 4 Tb 3.19-3.27
Mg (0.7747, 0.2253, 0.5000)  2 Cd 2.92, 4 Tb 3.19-3.27
Cd (0.1312, 0.1312, 0.6015)  2 Mg 2.92, 3 Tb 3.11-3.19, 1 Cd 3.19
Cd (0.2551, 0.2551, 0.9794)  2 Cd 3.04-3.19, 8 Tb 3.15-3.37
Cd (0.5000, 0.5000, 0.0000)  2 Cd 3.04, 4 Tb 3.26
Cd (0.7449, 0.7449, 0.0206)  2 Cd 3.04-3.19, 8 Tb 3.15-3.37
Cd (0.8688, 0.8688, 0.3985)  2 Mg 2.92, 3 Tb 3.11-3.19, 1 Cd 3.19

***

Record 2
VASP calculation (PBE) on TbMgCd14 after structural relaxation.

Summary:
Energy of formation in eV per atom: -0.072
E in eV per atom: -1.262
Space-group type: No. 123
Crystal system: tetragonal

a = 6.5312 Å, b = 6.5312 Å, c = 8.5953 Å
α = 90.00°, β = 90.00°, γ = 90.00°
With the nearest neighbours (Å) after each atom.
Sites, in units of the cell vectors:
Tb (0.0000, 0.0000, 0.0000)  12 Cd 3.20-3.27
Mg (0.5000, 0.5000, 0.0000)  12 Cd 3.15-3.27
Cd (0.0000, 0.0000, 0.5000)  12 Cd 3.16-3.27
Cd (0.0000, 0.5000, 0.0000)  8 Cd 3.18, 2 Tb 3.27, 2 Mg 3.27
Cd (0.0000, 0.5000, 0.5000)  12 Cd 3.13-3.27
Cd (0.2536, 0.2536, 0.2541)  10 Cd 3.11-3.31, 1 Mg 3.15, 1 Tb 3.20
Cd (0.2536, 0.2536, 0.7459)  10 Cd 3.11-3.31, 1 Mg 3.15, 1 Tb 3.20
Cd (0.2536, 0.7464, 0.2541)  10 Cd 3.11-3.31, 1 Mg 3.15, 1 Tb 3.20
Cd (0.2536, 0.7464, 0.7459)  10 Cd 3.11-3.31, 1 Mg 3.15, 1 Tb 3.20
Cd (0.5000, 0.0000, 0.0000)  8 Cd 3.18, 2 Tb 3.27, 2 Mg 3.27
Cd (0.5000, 0.0000, 0.5000)  12 Cd 3.13-3.27
Cd (0.5000, 0.5000, 0.5000)  12 Cd 3.11-3.27
Cd (0.7464, 0.2536, 0.2541)  10 Cd 3.11-3.31, 1 Mg 3.15, 1 Tb 3.20
Cd (0.7464, 0.2536, 0.7459)  10 Cd 3.11-3.31, 1 Mg 3.15, 1 Tb 3.20
Cd (0.7464, 0.7464, 0.2541)  10 Cd 3.11-3.31, 1 Mg 3.15, 1 Tb 3.20
Cd (0.7464, 0.7464, 0.7459)  10 Cd 3.11-3.31, 1 Mg 3.15, 1 Tb 3.20

***

Record 3
VASP calculation (PBE) on TbMg3Cd3 after structural relaxation.

Summary:
Energy of formation in eV per atom: 0.459
E in eV per atom: -1.278
Polymorph energy (0 for the lowest one) in eV per formula unit: 4.06
Space-group type: No. 223
Crystal system: cubic

a = 7.5218 Å, b = 7.5218 Å, c = 7.5218 Å
α = 90.00°, β = 90.00°, γ = 90.00°
With the nearest neighbours (Å) after each atom.
Sites, in units of the cell vectors:
Tb (0.0000, 0.0000, 0.0000)  12 Cd 4.20, 12 Mg 4.20
Tb (0.5000, 0.5000, 0.5000)  12 Cd 4.20, 12 Mg 4.20
Mg (0.0000, 0.2500, 0.5000)  4 Cd 2.66
Mg (0.0000, 0.7500, 0.5000)  4 Cd 2.66
Mg (0.2500, 0.5000, 0.0000)  4 Cd 2.66
Mg (0.5000, 0.0000, 0.2500)  4 Cd 2.66
Mg (0.5000, 0.0000, 0.7500)  4 Cd 2.66
Mg (0.7500, 0.5000, 0.0000)  4 Cd 2.66
Cd (0.0000, 0.5000, 0.2500)  4 Mg 2.66
Cd (0.0000, 0.5000, 0.7500)  4 Mg 2.66
Cd (0.2500, 0.0000, 0.5000)  4 Mg 2.66
Cd (0.5000, 0.2500, 0.0000)  4 Mg 2.66
Cd (0.5000, 0.7500, 0.0000)  4 Mg 2.66
Cd (0.7500, 0.0000, 0.5000)  4 Mg 2.66

***

Record 4
VASP calculation (PBE) on Tb3Mg5Cd2 after structural relaxation.

Summary:
Energy of formation in eV per atom: -0.010
E in eV per atom: -2.380
Space-group type: No. 72
Crystal system: orthorhombic

a = 9.7355 Å, b = 9.7355 Å, c = 9.7355 Å
α = 100.58°, β = 91.23°, γ = 142.66°
With the nearest neighbours (Å) after each atom.
Sites, in units of the cell vectors:
Tb (0.2441, 0.1237, 0.3678)  4 Cd 3.27-3.50, 4 Mg 3.38-3.44
Tb (0.2500, 0.2500, 0.0000)  2 Tb 3.12, 4 Cd 3.12, 2 Mg 3.18
Tb (0.2559, 0.6237, 0.8797)  4 Cd 3.27-3.50, 4 Mg 3.38-3.44
Tb (0.7441, 0.3763, 0.1203)  4 Cd 3.27-3.50, 4 Mg 3.38-3.44
Tb (0.7500, 0.7500, 0.0000)  2 Tb 3.12, 4 Cd 3.12, 2 Mg 3.18
Tb (0.7559, 0.8763, 0.6322)  4 Cd 3.27-3.50, 4 Mg 3.38-3.44
Mg (0.1493, 0.3781, 0.5274)  1 Cd 2.71, 4 Mg 2.98
Mg (0.2500, 0.5052, 0.2552)  2 Cd 2.97, 5 Mg 2.98-3.12, 1 Tb 3.18
Mg (0.2500, 0.7500, 0.5000)  8 Mg 2.98-3.12
Mg (0.2500, 0.9948, 0.7448)  2 Cd 2.97, 5 Mg 2.98-3.12, 1 Tb 3.18
Mg (0.3507, 0.8781, 0.2288)  1 Cd 2.71, 4 Mg 2.98
Mg (0.6493, 0.1219, 0.7712)  1 Cd 2.71, 4 Mg 2.98
Mg (0.7500, 0.0052, 0.2552)  2 Cd 2.97, 5 Mg 2.98-3.12, 1 Tb 3.18
Mg (0.7500, 0.2500, 0.5000)  8 Mg 2.98-3.12
Mg (0.7500, 0.4948, 0.7448)  2 Cd 2.97, 5 Mg 2.98-3.12, 1 Tb 3.18
Mg (0.8507, 0.6219, 0.4726)  1 Cd 2.71, 4 Mg 2.98
Cd (0.1523, 0.8607, 0.0130)  3 Mg 2.71-2.97
Cd (0.3477, 0.3607, 0.7083)  3 Mg 2.71-2.97
Cd (0.6523, 0.6393, 0.2917)  3 Mg 2.71-2.97
Cd (0.8477, 0.1393, 0.9870)  3 Mg 2.71-2.97

***

Record 5
VASP calculation (PBE) on TbMgCd3 after structural relaxation.

Summary:
Energy of formation in eV per atom: -0.080
E in eV per atom: -1.874
Space-group type: No. 194
Crystal system: hexagonal

a = 6.9329 Å, b = 6.9329 Å, c = 5.9250 Å
α = 90.00°, β = 90.00°, γ = 120.00°
With the nearest neighbours (Å) after each atom.
Sites, in units of the cell vectors:
Tb (0.3333, 0.6667, 0.2500)  12 Cd 3.39-3.48
Tb (0.6667, 0.3333, 0.7500)  12 Cd 3.39-3.48
Mg (0.0000, 0.0000, 0.0000)  6 Cd 2.78, 2 Mg 2.96
Mg (0.0000, 0.0000, 0.5000)  6 Cd 2.78, 2 Mg 2.96
Cd (0.1963, 0.3926, 0.7500)  2 Mg 2.78, 2 Cd 2.85
Cd (0.1963, 0.8037, 0.7500)  2 Mg 2.78, 2 Cd 2.85
Cd (0.3926, 0.1963, 0.2500)  2 Mg 2.78, 2 Cd 2.85
Cd (0.6074, 0.8037, 0.7500)  2 Mg 2.78, 2 Cd 2.85
Cd (0.8037, 0.1963, 0.2500)  2 Mg 2.78, 2 Cd 2.85
Cd (0.8037, 0.6074, 0.2500)  2 Mg 2.78, 2 Cd 2.85

***

Record 6
VASP calculation (PBE) on Tb2MgCd5 after structural relaxation.

Summary:
Energy of formation in eV per atom: -0.213
E in eV per atom: -2.142
Space-group type: No. 139
Crystal system: tetragonal

a = 4.8587 Å, b = 4.8587 Å, c = 16.1377 Å
α = 90.00°, β = 90.00°, γ = 90.00°
With the nearest neighbours (Å) after each atom.
Sites, in units of the cell vectors:
Tb (0.0000, 0.0000, 0.2476)  8 Cd 3.22-3.28, 4 Tb 3.44
Tb (0.0000, 0.0000, 0.7524)  8 Cd 3.22-3.28, 4 Tb 3.44
Tb (0.5000, 0.5000, 0.2524)  8 Cd 3.22-3.28, 4 Tb 3.44
Tb (0.5000, 0.5000, 0.7476)  8 Cd 3.22-3.28, 4 Tb 3.44
Mg (0.0000, 0.0000, 0.5000)  12 Cd 3.07-3.44
Mg (0.5000, 0.5000, 0.0000)  12 Cd 3.07-3.44
Cd (0.0000, 0.0000, 0.0000)  8 Cd 3.07, 4 Mg 3.44
Cd (0.0000, 0.5000, 0.1163)  6 Cd 3.07-3.44, 2 Mg 3.07, 4 Tb 3.22-3.28
Cd (0.0000, 0.5000, 0.3837)  6 Cd 3.07-3.44, 2 Mg 3.07, 4 Tb 3.22-3.28
Cd (0.0000, 0.5000, 0.6163)  6 Cd 3.07-3.44, 2 Mg 3.07, 4 Tb 3.22-3.28
Cd (0.0000, 0.5000, 0.8837)  6 Cd 3.07-3.44, 2 Mg 3.07, 4 Tb 3.22-3.28
Cd (0.5000, 0.0000, 0.1163)  6 Cd 3.07-3.44, 2 Mg 3.07, 4 Tb 3.22-3.28
Cd (0.5000, 0.0000, 0.3837)  6 Cd 3.07-3.44, 2 Mg 3.07, 4 Tb 3.22-3.28
Cd (0.5000, 0.0000, 0.6163)  6 Cd 3.07-3.44, 2 Mg 3.07, 4 Tb 3.22-3.28
Cd (0.5000, 0.0000, 0.8837)  6 Cd 3.07-3.44, 2 Mg 3.07, 4 Tb 3.22-3.28
Cd (0.5000, 0.5000, 0.5000)  8 Cd 3.07, 4 Mg 3.44

***

Record 7
VASP calculation (PBE) on TbMg6Cd2 after structural relaxation.

Summary:
Energy of formation in eV per atom: 0.380
E in eV per atom: -1.401
Polymorph energy (0 for the lowest one) in eV per formula unit: 4.15
Space-group type: No. 227
Crystal system: cubic

a = 9.1852 Å, b = 9.1852 Å, c = 9.1852 Å
α = 60.00°, β = 60.00°, γ = 60.00°
With the nearest neighbours (Å) after each atom.
Sites, in units of the cell vectors:
Tb (0.1250, 0.1250, 0.1250)  6 Mg 3.23
Tb (0.8750, 0.8750, 0.8750)  6 Mg 3.23
Mg (0.1235, 0.1235, 0.6265)  2 Cd 2.82
Mg (0.1235, 0.6265, 0.1235)  2 Cd 2.82
Mg (0.1235, 0.6265, 0.6265)  2 Cd 2.82
Mg (0.3735, 0.3735, 0.8765)  2 Cd 2.82
Mg (0.3735, 0.8765, 0.3735)  2 Cd 2.82
Mg (0.3735, 0.8765, 0.8765)  2 Cd 2.82
Mg (0.6265, 0.1235, 0.1235)  2 Cd 2.82
Mg (0.6265, 0.1235, 0.6265)  2 Cd 2.82
Mg (0.6265, 0.6265, 0.1235)  2 Cd 2.82
Mg (0.8765, 0.3735, 0.3735)  2 Cd 2.82
Mg (0.8765, 0.3735, 0.8765)  2 Cd 2.82
Mg (0.8765, 0.8765, 0.3735)  2 Cd 2.82
Cd (0.0000, 0.5000, 0.5000)  6 Mg 2.82
Cd (0.5000, 0.0000, 0.5000)  6 Mg 2.82
Cd (0.5000, 0.5000, 0.0000)  6 Mg 2.82
Cd (0.5000, 0.5000, 0.5000)  6 Mg 2.82

***

Record 8
VASP calculation (PBE) on TbMg2Cd after structural relaxation.

Summary:
Energy of formation in eV per atom: -0.167
E in eV per atom: -2.350
Polymorph energy (0 for the lowest one) in eV per formula unit: 0.14
Space-group type: No. 123
Crystal system: tetragonal

a = 4.5147 Å, b = 4.5147 Å, c = 4.8613 Å
α = 90.00°, β = 90.00°, γ = 90.00°
With the nearest neighbours (Å) after each atom.
Sites, in units of the cell vectors:
Tb (0.0000, 0.0000, 0.0000)  4 Cd 3.19, 8 Mg 3.32
Mg (0.0000, 0.5000, 0.5000)  4 Mg 3.19, 4 Cd 3.32, 4 Tb 3.32
Mg (0.5000, 0.0000, 0.5000)  4 Mg 3.19, 4 Cd 3.32, 4 Tb 3.32
Cd (0.5000, 0.5000, 0.0000)  4 Tb 3.19, 8 Mg 3.32

***

Record 9
VASP calculation (PBE) on Tb3Mg7Cd2 after structural relaxation.

Summary:
Energy of formation in eV per atom: -0.101
E in eV per atom: -2.342
Space-group type: No. 166
Crystal system: trigonal

a = 10.2353 Å, b = 10.2353 Å, c = 10.2353 Å
α = 34.13°, β = 34.13°, γ = 34.13°
With the nearest neighbours (Å) after each atom.
Sites, in units of the cell vectors:
Tb (0.0000, 0.0000, 0.0000)  6 Cd 3.47, 12 Mg 3.84
Tb (0.1445, 0.1445, 0.1445)  12 Mg 3.50-3.53, 3 Tb 3.70
Tb (0.8555, 0.8555, 0.8555)  12 Mg 3.50-3.53, 3 Tb 3.70
Mg (0.0779, 0.5848, 0.5848)  2 Cd 2.94-2.96, 5 Mg 2.96-3.05
Mg (0.4152, 0.4152, 0.9221)  2 Cd 2.94-2.96, 5 Mg 2.96-3.05
Mg (0.4152, 0.9221, 0.4152)  2 Cd 2.94-2.96, 5 Mg 2.96-3.05
Mg (0.5000, 0.5000, 0.5000)  6 Mg 3.00
Mg (0.5848, 0.0779, 0.5848)  2 Cd 2.94-2.96, 5 Mg 2.96-3.05
Mg (0.5848, 0.5848, 0.0779)  2 Cd 2.94-2.96, 5 Mg 2.96-3.05
Mg (0.9221, 0.4152, 0.4152)  2 Cd 2.94-2.96, 5 Mg 2.96-3.05
Cd (0.3343, 0.3343, 0.3343)  6 Mg 2.94-2.96
Cd (0.6657, 0.6657, 0.6657)  6 Mg 2.94-2.96

***

Record 10
VASP calculation (PBE) on Tb3MgCd2 after structural relaxation.

Summary:
Energy of formation in eV per atom: -0.246
E in eV per atom: -3.132
Polymorph energy (0 for the lowest one) in eV per formula unit: 0.00
Space-group type: No. 65
Crystal system: orthorhombic

a = 5.3009 Å, b = 16.0260 Å, c = 3.7832 Å
α = 90.00°, β = 90.00°, γ = 90.00°
With the nearest neighbours (Å) after each atom.
Sites, in units of the cell vectors:
Tb (0.0000, 0.0000, 0.0000)  4 Cd 3.19, 4 Mg 3.26
Tb (0.0000, 0.3310, 0.0000)  6 Cd 3.26-3.33, 2 Mg 3.30
Tb (0.0000, 0.6690, 0.0000)  6 Cd 3.26-3.33, 2 Mg 3.30
Tb (0.5000, 0.1690, 0.0000)  6 Cd 3.26-3.33, 2 Mg 3.30
Tb (0.5000, 0.5000, 0.0000)  4 Cd 3.19, 4 Mg 3.26
Tb (0.5000, 0.8310, 0.0000)  6 Cd 3.26-3.33, 2 Mg 3.30
Mg (0.0000, 0.5000, 0.5000)  8 Tb 3.26-3.30
Mg (0.5000, 0.0000, 0.5000)  8 Tb 3.26-3.30
Cd (0.0000, 0.1600, 0.5000)  8 Tb 3.19-3.33
Cd (0.0000, 0.8400, 0.5000)  8 Tb 3.19-3.33
Cd (0.5000, 0.3400, 0.5000)  8 Tb 3.19-3.33
Cd (0.5000, 0.6600, 0.5000)  8 Tb 3.19-3.33